1.
Entry from the Open Quantum Materials Database: an optimized crystal structure of TbPrCu2As4 (GGA-PBE).

## Properties
raw total energy = -5.26 eV per atom

Cell lengths 3.960, 3.960, 10.065 Å; angles 90.00, 90.00, 90.00 degrees
Atoms (fractional coordinates):
1 As 0.500 0.500 0.648
2 As 0.500 0.000 0.008
3 As 0.000 0.000 0.340
4 As 0.000 0.500 0.008
5 Tb 0.500 0.500 0.240
6 Pr 0.000 0.000 0.764
7 Cu 0.000 0.500 0.495
8 Cu 0.500 0.000 0.495

***

2.
Entry from the Open Quantum Materials Database: an optimized crystal structure of DyZnCu (GGA-PBE).

## Properties
raw total energy = -3.33 eV per atom

Cell lengths 4.458, 4.458, 4.458 Å; angles 60.00, 60.00, 60.00 degrees
Atoms (fractional coordinates):
1 Zn 0.750 0.750 0.750
2 Dy 0.250 0.250 0.250
3 Cu 0.000 0.000 0.000

***

3.
Entry from the Open Quantum Materials Database: an optimized crystal structure of CsAlHgSe3 (GGA-PBE).

## Properties
raw total energy = -3.21 eV per atom

Cell lengths 8.465, 8.465, 10.990 Å; angles 90.00, 90.00, 153.08 degrees
Atoms (fractional coordinates):
1 Cs 0.265 0.735 0.750
2 Cs 0.735 0.265 0.250
3 Hg 0.436 0.564 0.250
4 Hg 0.564 0.436 0.750
5 Se 0.394 0.606 0.477
6 Se 0.606 0.394 0.977
7 Se 0.949 0.051 0.750
8 Se 0.051 0.949 0.250
9 Se 0.394 0.606 0.023
10 Se 0.606 0.394 0.523
11 Al 0.000 0.000 0.000
12 Al 0.000 0.000 0.500

***

4.
Entry from the Open Quantum Materials Database: an optimized crystal structure of SmAl2PdPt (GGA-PBE).

## Properties
raw total energy = -5.71 eV per atom

Cell lengths 4.330, 4.330, 10.165 Å; angles 90.00, 90.00, 90.00 degrees
Atoms (fractional coordinates):
1 Pt 0.000 0.500 0.632
2 Pt 0.500 0.000 0.368
3 Al 0.000 0.500 0.873
4 Al 0.000 0.000 0.500
5 Al 0.500 0.500 0.500
6 Al 0.500 0.000 0.127
7 Sm 0.000 0.500 0.252
8 Sm 0.500 0.000 0.748
9 Pd 0.500 0.500 0.000
10 Pd 0.000 0.000 0.000